Entry from Alexandria via LeMat-Bulk: MnBr after structural relaxation (GGA-PBE).

Values from the calculation:
ρ ... 4.569 Mg/m³
Calculated volume ... 24.504 Å³ per atom
Space group ... Cm
E ... -5.457 eV/atom
E_form (uncorrected) ... -0.04 eV/atom

Cell and atoms, written as POSCAR:
```
MnBr
1.0
-4.4623 -2.0325 -4.7564
-1.8560 -0.6845 -6.5386
2.2218 -6.0818 -1.3508
Mn Br
3 3
Cartesian
-3.4626 -2.5924 -7.0245
0.6223 -3.4139 -1.6720
-3.9628 -4.3877 -9.1139
1.8997 -5.6884 -1.5243
-1.6024 -1.0504 -3.1378
-1.6293 -3.9588 -5.3769
```